A relaxed structure of Ag3PtW, computed with GGA-PBE.

Cell: 5.018 5.018 5.018 Å, 90.00 90.00 90.00°
Space group Pm-3m (No. 221)
Inequivalent atoms, fractional coordinates:
Ag: 0.000 0.000 0.500 (multiplicity 3)
Pt: 0.000 0.000 0.000 (multiplicity 1)
W: 0.500 0.500 0.500 (multiplicity 1)

Summary:
The formation energy comes out at 169.4 kJ/mol of atoms. Its crystal system is cubic. As for the density of states at the Fermi level: 2.62 states/eV per cell. The calculation puts the distance to the lowest polymorph of the same formula at 0 meV per atom.